(1)
# TaW2Br

TaW2Br after structural relaxation (GGA-PBE, Alexandria).

Geometry as CIF:
```
data_TaW2Br
_chemical_formula_sum 'Ta1 W2 Br1'
_symmetry_space_group_name_H-M 'P 1 2/m 1'
_symmetry_Int_Tables_number 10
_cell_length_a 2.9216
_cell_length_b 4.4985
_cell_length_c 5.4732
_cell_angle_alpha 90.00
_cell_angle_beta 96.59
_cell_angle_gamma 90.00
loop_
_symmetry_equiv_pos_as_xyz
'x,y,z'
'-x,-y,-z'
'-x,y,-z'
'x,-y,z'
loop_
_atom_site_label
_atom_site_fract_x
_atom_site_fract_y
_atom_site_fract_z
Ta1 0.0000 0.0000 0.0000
W1 0.4613 0.5000 0.2264
Br1 0.0000 0.0000 0.5000
```

## Properties
Total magnetization in μB/atom: 0.000
Uncorrected formation energy in eV per formula unit: 3.433
Energy above the lowest structure with this stoichiometry in meV/atom: 358.8



(2)
# YTa2Br

YTa2Br after structural relaxation (GGA-PBE, Alexandria).

Geometry as CIF:
```
data_YTa2Br
_chemical_formula_sum 'Y1 Ta2 Br1'
_symmetry_space_group_name_H-M 'P 4 m m'
_symmetry_Int_Tables_number 99
_cell_length_a 3.4476
_cell_length_b 3.4476
_cell_length_c 8.5360
_cell_angle_alpha 90.00
_cell_angle_beta 90.00
_cell_angle_gamma 90.00
loop_
_symmetry_equiv_pos_as_xyz
'x,y,z'
'-y,x,z'
'-x,-y,z'
'y,-x,z'
'-x,y,z'
'y,x,z'
'x,-y,z'
'-y,-x,z'
loop_
_atom_site_label
_atom_site_fract_x
_atom_site_fract_y
_atom_site_fract_z
Y1 0.0000 0.0000 0.0000
Ta1 0.0000 0.0000 0.6142
Ta2 0.5000 0.5000 0.7594
Br1 0.5000 0.5000 0.2164
```

## Properties
Total magnetization in μB/atom: 0.000
Uncorrected formation energy in eV per formula unit: -0.063
Energy above the lowest structure with this stoichiometry in meV/atom: 49.1



(3)
# YTa2Br

YTa2Br after structural relaxation (GGA-PBE, Alexandria).

Geometry as CIF:
```
data_YTa2Br
_chemical_formula_sum 'Y1 Ta2 Br1'
_symmetry_space_group_name_H-M 'P m m m'
_symmetry_Int_Tables_number 47
_cell_length_a 3.1668
_cell_length_b 5.1699
_cell_length_c 5.4975
_cell_angle_alpha 90.00
_cell_angle_beta 90.00
_cell_angle_gamma 90.00
loop_
_symmetry_equiv_pos_as_xyz
'x,y,z'
'-x,-y,-z'
'-x,-y,z'
'x,y,-z'
'x,-y,-z'
'-x,y,z'
'-x,y,-z'
'x,-y,z'
loop_
_atom_site_label
_atom_site_fract_x
_atom_site_fract_y
_atom_site_fract_z
Y1 0.0000 0.0000 0.0000
Ta1 0.5000 0.5000 0.2353
Br1 0.0000 0.0000 0.5000
```

## Properties
Total magnetization in μB/atom: 0.000
Uncorrected formation energy in eV per formula unit: 2.282
Energy above the lowest structure with this stoichiometry in meV/atom: 635.3



(4)
# YTa2Br

YTa2Br after structural relaxation (GGA-PBE, Alexandria).

Geometry as CIF:
```
data_YTa2Br
_chemical_formula_sum 'Y2 Ta4 Br2'
_symmetry_space_group_name_H-M 'C m m 2'
_symmetry_Int_Tables_number 35
_cell_length_a 3.6592
_cell_length_b 5.3006
_cell_length_c 9.2065
_cell_angle_alpha 90.00
_cell_angle_beta 90.00
_cell_angle_gamma 90.00
loop_
_symmetry_equiv_pos_as_xyz
'x,y,z'
'-x,-y,z'
'-x,y,z'
'x,-y,z'
'x+1/2,y+1/2,z'
'-x+1/2,-y+1/2,z'
'-x+1/2,y+1/2,z'
'x+1/2,-y+1/2,z'
loop_
_atom_site_label
_atom_site_fract_x
_atom_site_fract_y
_atom_site_fract_z
Y1 0.0000 0.0000 0.0000
Ta1 0.0000 0.0000 0.5258
Ta2 0.0000 0.5000 0.7335
Br1 0.0000 0.5000 0.2492
```

## Properties
Total magnetization in μB/atom: 0.000
Uncorrected formation energy in eV per formula unit: 0.443
Energy above the lowest structure with this stoichiometry in meV/atom: 175.7



(5)
# YTa2Br

YTa2Br after structural relaxation (GGA-PBE, Alexandria).

Geometry as CIF:
```
data_YTa2Br
_chemical_formula_sum 'Y2 Ta4 Br2'
_symmetry_space_group_name_H-M 'C m m m'
_symmetry_Int_Tables_number 65
_symmetry_space_group_name_Hall '-C 2 2'
_cell_length_a 3.7219
_cell_length_b 4.8783
_cell_length_c 9.3933
_cell_angle_alpha 90.00
_cell_angle_beta 90.00
_cell_angle_gamma 90.00
loop_
_atom_site_label
_atom_site_fract_x
_atom_site_fract_y
_atom_site_fract_z
Y1 0.0000 0.0000 0.0000
Ta1 0.0000 0.5000 0.2729
Br1 0.0000 0.0000 0.5000
```

## Properties
Total magnetization in μB/atom: 0.000
Uncorrected formation energy in eV per formula unit: 2.454
Energy above the lowest structure with this stoichiometry in meV/atom: 678.3



(6)
# YTa2Br

YTa2Br after structural relaxation (GGA-PBE, Alexandria).

Geometry as CIF:
```
data_YTa2Br
_chemical_formula_sum 'Y4 Ta8 Br4'
_symmetry_space_group_name_H-M 'I -4 2 d'
_symmetry_Int_Tables_number 122
_symmetry_space_group_name_Hall 'I -4 2bw'
_cell_length_a 3.9613
_cell_length_b 3.9613
_cell_length_c 23.0681
_cell_angle_alpha 90.00
_cell_angle_beta 90.00
_cell_angle_gamma 90.00
loop_
_atom_site_label
_atom_site_fract_x
_atom_site_fract_y
_atom_site_fract_z
Y1 0.0000 0.0000 0.0000
Ta1 0.2449 0.7500 0.1250
Br1 0.0000 0.0000 0.5000
```

## Properties
Total magnetization in μB/atom: 0.000
Uncorrected formation energy in eV per formula unit: 1.861
Energy above the lowest structure with this stoichiometry in meV/atom: 530.1



(7)
# YTa2Br

YTa2Br after structural relaxation (GGA-PBE, Alexandria).

Geometry as CIF:
```
data_YTa2Br
_chemical_formula_sum 'Y3 Ta6 Br3'
_symmetry_space_group_name_H-M 'R 3 m'
_symmetry_Int_Tables_number 160
_symmetry_space_group_name_Hall 'R 3 -2"'
_cell_length_a 3.4112
_cell_length_b 3.4112
_cell_length_c 27.1884
_cell_angle_alpha 90.00
_cell_angle_beta 90.00
_cell_angle_gamma 120.00
loop_
_atom_site_label
_atom_site_fract_x
_atom_site_fract_y
_atom_site_fract_z
Y1 0.0000 0.0000 0.0000
Ta1 0.0000 0.0000 0.4927
Ta2 0.0000 0.0000 0.7586
Br1 0.0000 0.0000 0.2478
```

## Properties
Total magnetization in μB/atom: 0.000
Uncorrected formation energy in eV per formula unit: 0.311
Energy above the lowest structure with this stoichiometry in meV/atom: 142.5



(8)
# YTa2Br

YTa2Br after structural relaxation (GGA-PBE, Alexandria).

Geometry as CIF:
```
data_YTa2Br
_chemical_formula_sum 'Y2 Ta4 Br2'
_symmetry_space_group_name_H-M 'C 1 2/m 1'
_symmetry_Int_Tables_number 12
_cell_length_a 11.5098
_cell_length_b 3.2722
_cell_length_c 4.6841
_cell_angle_alpha 90.00
_cell_angle_beta 103.98
_cell_angle_gamma 90.00
loop_
_symmetry_equiv_pos_as_xyz
'x,y,z'
'-x,-y,-z'
'-x,y,-z'
'x,-y,z'
'x+1/2,y+1/2,z'
'-x+1/2,-y+1/2,-z'
'-x+1/2,y+1/2,-z'
'x+1/2,-y+1/2,z'
loop_
_atom_site_label
_atom_site_fract_x
_atom_site_fract_y
_atom_site_fract_z
Y1 0.0000 0.0000 0.0000
Ta1 0.2426 0.0000 0.7475
Br1 0.0000 0.5000 0.5000
```

## Properties
Total magnetization in μB/atom: 0.000
Uncorrected formation energy in eV per formula unit: 1.201
Energy above the lowest structure with this stoichiometry in meV/atom: 365.1



(9)
# Y2Ta2Br

Y2Ta2Br after structural relaxation (GGA-PBE, Alexandria).

Geometry as CIF:
```
data_Y2Ta2Br
_chemical_formula_sum 'Y4 Ta4 Br2'
_symmetry_space_group_name_H-M 'I 4/m m m'
_symmetry_Int_Tables_number 139
_symmetry_space_group_name_Hall '-I 4 2'
_cell_length_a 3.8344
_cell_length_b 3.8344
_cell_length_c 18.3625
_cell_angle_alpha 90.00
_cell_angle_beta 90.00
_cell_angle_gamma 90.00
loop_
_atom_site_label
_atom_site_fract_x
_atom_site_fract_y
_atom_site_fract_z
Y1 0.0000 0.0000 0.1158
Ta1 0.0000 0.5000 0.2500
Br1 0.0000 0.0000 0.5000
```

## Properties
Total magnetization in μB/atom: 0.000
Uncorrected formation energy in eV per formula unit: 0.133



(10)
# YTa2Br

YTa2Br after structural relaxation (GGA-PBE, Alexandria).

Geometry as CIF:
```
data_YTa2Br
_chemical_formula_sum 'Y2 Ta4 Br2'
_symmetry_space_group_name_H-M 'C 1 m 1'
_symmetry_Int_Tables_number 8
_cell_length_a 9.8372
_cell_length_b 3.2152
_cell_length_c 5.9955
_cell_angle_alpha 90.00
_cell_angle_beta 106.45
_cell_angle_gamma 90.00
loop_
_symmetry_equiv_pos_as_xyz
'x,y,z'
'x,-y,z'
'x+1/2,y+1/2,z'
'x+1/2,-y+1/2,z'
loop_
_atom_site_label
_atom_site_fract_x
_atom_site_fract_y
_atom_site_fract_z
Y1 0.0000 0.0000 0.0000
Ta1 0.0036 0.5000 0.5385
Ta2 0.2292 0.0000 0.5856
Br1 0.2667 0.5000 0.2106
```

## Properties
Total magnetization in μB/atom: 0.000
Uncorrected formation energy in eV per formula unit: 1.521
Energy above the lowest structure with this stoichiometry in meV/atom: 445.2



(11)
# YTa2Br

YTa2Br after structural relaxation (GGA-PBE, Alexandria).

Geometry as CIF:
```
data_YTa2Br
_chemical_formula_sum 'Y3 Ta6 Br3'
_symmetry_space_group_name_H-M 'R -3 m'
_symmetry_Int_Tables_number 166
_symmetry_space_group_name_Hall '-R 3 2"'
_cell_length_a 3.1752
_cell_length_b 3.1752
_cell_length_c 29.3121
_cell_angle_alpha 90.00
_cell_angle_beta 90.00
_cell_angle_gamma 120.00
loop_
_atom_site_label
_atom_site_fract_x
_atom_site_fract_y
_atom_site_fract_z
Y1 0.0000 0.0000 0.0000
Ta1 0.0000 0.0000 0.2432
Br1 0.0000 0.0000 0.5000
```

## Properties
Total magnetization in μB/atom: 0.000
Uncorrected formation energy in eV per formula unit: 2.067
Energy above the lowest structure with this stoichiometry in meV/atom: 581.7



(12)
# YTa2Br

YTa2Br after structural relaxation (GGA-PBE, Alexandria).

Geometry as CIF:
```
data_YTa2Br
_chemical_formula_sum 'Y1 Ta2 Br1'
_symmetry_space_group_name_H-M 'P 4/m m m'
_symmetry_Int_Tables_number 123
_symmetry_space_group_name_Hall '-P 4 2'
_cell_length_a 3.6305
_cell_length_b 3.6305
_cell_length_c 6.5064
_cell_angle_alpha 90.00
_cell_angle_beta 90.00
_cell_angle_gamma 90.00
loop_
_atom_site_label
_atom_site_fract_x
_atom_site_fract_y
_atom_site_fract_z
Y1 0.0000 0.0000 0.0000
Ta1 0.5000 0.5000 0.2928
Br1 0.0000 0.0000 0.5000
```

## Properties
Total magnetization in μB/atom: 0.000
Uncorrected formation energy in eV per formula unit: 3.128
Energy above the lowest structure with this stoichiometry in meV/atom: 846.9



(13)
# YTa2Br

YTa2Br after structural relaxation (GGA-PBE, Alexandria).

Geometry as CIF:
```
data_YTa2Br
_chemical_formula_sum 'Y1 Ta2 Br1'
_symmetry_space_group_name_H-M 'P 1 2/m 1'
_symmetry_Int_Tables_number 10
_cell_length_a 3.2832
_cell_length_b 5.8097
_cell_length_c 4.6830
_cell_angle_alpha 90.00
_cell_angle_beta 90.13
_cell_angle_gamma 90.00
loop_
_symmetry_equiv_pos_as_xyz
'x,y,z'
'-x,-y,-z'
'-x,y,-z'
'x,-y,z'
loop_
_atom_site_label
_atom_site_fract_x
_atom_site_fract_y
_atom_site_fract_z
Y1 0.0000 0.0000 0.0000
Ta1 0.2649 0.5000 0.2249
Br1 0.5000 0.0000 0.5000
```

## Properties
Total magnetization in μB/atom: 0.000
Uncorrected formation energy in eV per formula unit: 1.238
Energy above the lowest structure with this stoichiometry in meV/atom: 374.3



(14)
# Y4TaBr

Y4TaBr after structural relaxation (GGA-PBE, Alexandria).

Geometry as CIF:
```
data_Y4TaBr
_chemical_formula_sum 'Y16 Ta4 Br4'
_symmetry_space_group_name_H-M 'F -4 3 m'
_symmetry_Int_Tables_number 216
_symmetry_space_group_name_Hall 'F -4 2 3'
_cell_length_a 8.8810
_cell_length_b 8.8810
_cell_length_c 8.8810
_cell_angle_alpha 90.00
_cell_angle_beta 90.00
_cell_angle_gamma 90.00
loop_
_atom_site_label
_atom_site_fract_x
_atom_site_fract_y
_atom_site_fract_z
Y1 0.1220 0.1220 0.3780
Ta1 0.2500 0.2500 0.7500
Br1 0.0000 0.0000 0.0000
```

## Properties
Total magnetization in μB/atom: 0.000
Uncorrected formation energy in eV per formula unit: 4.485



(15)
# YTa2Br

YTa2Br after structural relaxation (GGA-PBE, Alexandria).

Geometry as CIF:
```
data_YTa2Br
_chemical_formula_sum 'Y4 Ta8 Br4'
_symmetry_space_group_name_H-M 'F m -3 m'
_symmetry_Int_Tables_number 225
_symmetry_space_group_name_Hall '-F 4 2 3'
_cell_length_a 6.9399
_cell_length_b 6.9399
_cell_length_c 6.9399
_cell_angle_alpha 90.00
_cell_angle_beta 90.00
_cell_angle_gamma 90.00
loop_
_atom_site_label
_atom_site_fract_x
_atom_site_fract_y
_atom_site_fract_z
Y1 0.0000 0.0000 0.0000
Ta1 0.2500 0.2500 0.2500
Br1 0.0000 0.0000 0.5000
```

## Properties
Total magnetization in μB/atom: 0.000
Uncorrected formation energy in eV per formula unit: 4.569
Energy above the lowest structure with this stoichiometry in meV/atom: 1207.1